A plane-wave DFT calculation with GGA-PBE was carried out for an optimized crystal structure of Nd6Dy2Zn.

Calculated values
**Total moment**: 0.0 μB per formula unit
**ΔE_f**: 9 meV/atom
**N(E_F)**: 26.13 states/eV/cell
**Crystal system**: orthorhombic

Cell: 5.475 10.312 10.324 Å, 90.00 89.98 90.00°
Element x y z (fractional)
Nd (0.000, 0.041, 0.188)
Nd (0.000, 0.688, 0.542)
Nd (0.000, 0.623, 0.879)
Nd (0.500, 0.123, 0.621)
Nd (0.500, 0.188, 0.958)
Nd (0.500, 0.541, 0.312)
Nd (0.000, 0.959, 0.812)
Nd (0.000, 0.312, 0.458)
Nd (0.000, 0.377, 0.121)
Nd (0.500, 0.877, 0.379)
Nd (0.500, 0.812, 0.042)
Nd (0.500, 0.459, 0.688)
Dy (0.000, 0.285, 0.783)
Dy (0.500, 0.785, 0.717)
Dy (0.500, 0.215, 0.283)
Dy (0.000, 0.715, 0.217)
Zn (0.500, 0.500, 0.000)
Zn (0.000, 0.000, 0.500)

***

A plane-wave DFT calculation with GGA-PBE was carried out for an optimized crystal structure of CoMo2W.

Calculated values
**Distance to the lowest polymorph of the same formula**: 9.4 kJ/mol of atoms
**Total moment**: 1.7 μB per formula unit
**ΔE_f**: 172 meV/atom
**N(E_F)**: 4.90 states/eV/cell
**Crystal system**: monoclinic

Cell: 4.383 2.676 5.166 Å, 79.77 90.00 90.00°
Element x y z (fractional)
Co (0.500, 0.750, 0.750)
Mo (0.000, 0.008, 0.995)
Mo (0.000, 0.492, 0.505)
W (0.500, 0.250, 0.250)

***

A plane-wave DFT calculation with GGA-PBE was carried out for an optimized crystal structure of LiTc2Cl.

Calculated values
**Distance to the lowest polymorph of the same formula**: 74.2 kJ/mol of atoms
**Total moment**: 0.0 μB per formula unit
**N(E_F)**: 4.21 states/eV/cell
**Crystal system**: tetragonal
**Uncorrected formation energy**: 584 meV/atom

Cell: 4.407 4.407 4.407 Å, 122.68 122.68 85.41°
Element x y z (fractional)
Cl (0.500, 0.500, 0.000)
Li (0.750, 0.250, 0.500)
Tc (0.000, 0.000, 0.000)
Tc (0.250, 0.750, 0.500)

***

A plane-wave DFT calculation with GGA-PBE was carried out for an optimized crystal structure of Pm4CdOs.

Calculated values
**Distance to the lowest polymorph of the same formula**: 3.1 kJ/mol of atoms
**Total moment**: 0.0 μB per formula unit
**ΔE_f**: -188 meV/atom
**N(E_F)**: 14.54 states/eV/cell
**Crystal system**: monoclinic

Cell: 6.310 9.268 7.980 Å, 115.06 99.48 113.41°
Element x y z (fractional)
Pm (0.096, 0.202, 0.842)
Pm (0.769, 0.723, 0.661)
Pm (0.246, 0.640, 0.842)
Pm (0.392, 0.938, 0.661)
Pm (0.608, 0.062, 0.339)
Pm (0.754, 0.360, 0.158)
Pm (0.231, 0.277, 0.339)
Pm (0.904, 0.798, 0.158)
Cd (0.373, 0.623, 0.246)
Cd (0.627, 0.377, 0.754)
Os (0.250, 0.000, 0.999)
Os (0.750, 0.000, 0.001)

***

Please write out number 2 again, unchanged.
A plane-wave DFT calculation with GGA-PBE was carried out for an optimized crystal structure of CoMo2W.

Calculated values
**Distance to the lowest polymorph of the same formula**: 9.4 kJ/mol of atoms
**Total moment**: 1.7 μB per formula unit
**ΔE_f**: 172 meV/atom
**N(E_F)**: 4.90 states/eV/cell
**Crystal system**: monoclinic

Cell: 4.383 2.676 5.166 Å, 79.77 90.00 90.00°
Element x y z (fractional)
Co (0.500, 0.750, 0.750)
Mo (0.000, 0.008, 0.995)
Mo (0.000, 0.492, 0.505)
W (0.500, 0.250, 0.250)